Density functional theory data (GGA+U) for an optimized crystal structure of LiPa2MnO8.

Computed properties:
Calculated total energy: -96.1 eV per formula unit
Calculated volume: 157.5 Å³/cell
Total magnetization: 3.035 μB/cell
Symmetry: P-3m1 (164)

Unit cell a=6.341 b=6.341 c=4.523 alpha=90.00 beta=90.00 gamma=120.00
Each line ends with the local moment (μB).
Positions (direct):
Li  0.000  0.000  0.000  0.00
Pa  0.667  0.333  0.741  0.03
Pa  0.333  0.667  0.259  0.03
Mn  0.000  0.000  0.500  3.03
O  0.856  0.712  0.734  -0.02
O  0.288  0.144  0.734  -0.02
O  0.856  0.144  0.734  -0.02
O  0.144  0.288  0.266  -0.02
O  0.712  0.856  0.266  -0.02
O  0.144  0.856  0.266  -0.02
O  0.667  0.333  0.247  0.00
O  0.333  0.667  0.753  0.00